The following is a DFT calculation (PBE-GGA) of an optimized crystal structure of ZnAgTe2.

Results
**Crystal system**: orthorhombic
**Relative energy among the computed polymorphs**: 237 meV/atom
**Final energy**: -2.54 eV per atom
**Spin magnetization**: 0.000 Bohr magnetons per cell
**Symmetry**: Imm2, No. 44
**Formation energy from raw total energies**: 0.06 eV/atom

Cell and atoms, written as CIF:
```
data_ZnAgTe2
_chemical_formula_sum 'Zn1 Ag1 Te2'
_space_group_name_H-M_alt 'P 1'
_space_group_IT_number 1
_cell_length_a 7.070
_cell_length_b 7.070
_cell_length_c 7.070
_cell_angle_alpha 148.45
_cell_angle_beta 147.17
_cell_angle_gamma 46.18
loop_
_space_group_symop_operation_xyz
'x,y,z'
loop_
_atom_site_label
_atom_site_type_symbol
_atom_site_fract_x
_atom_site_fract_y
_atom_site_fract_z
_atom_site_occupancy
Zn1 Zn 0.000 0.000 0.000 1
Ag1 Ag 0.245 0.745 0.500 1
Te1 Te 0.577 0.577 0.000 1
Te2 Te 0.837 0.337 0.500 1
```



The following is a DFT calculation (PBE-GGA) of an optimized crystal structure of ZnAg2Te2.

Results
**Crystal system**: tetragonal
**Relative energy among the computed polymorphs**: 17 meV/atom
**Final energy**: -2.53 eV per atom
**Spin magnetization**: 0.000 Bohr magnetons per cell
**Symmetry**: I4/mmm, No. 139
**Formation energy from raw total energies**: 0.12 eV/atom

Cell and atoms, written as CIF:
```
data_ZnAg2Te2
_chemical_formula_sum 'Zn1 Ag2 Te2'
_space_group_name_H-M_alt 'P 1'
_space_group_IT_number 1
_cell_length_a 8.195
_cell_length_b 8.195
_cell_length_c 8.195
_cell_angle_alpha 151.66
_cell_angle_beta 151.66
_cell_angle_gamma 40.51
loop_
_space_group_symop_operation_xyz
'x,y,z'
loop_
_atom_site_label
_atom_site_type_symbol
_atom_site_fract_x
_atom_site_fract_y
_atom_site_fract_z
_atom_site_occupancy
Zn1 Zn 0.000 0.000 0.000 1
Ag1 Ag 0.250 0.750 0.500 1
Ag2 Ag 0.750 0.250 0.500 1
Te1 Te 0.388 0.388 0.000 1
Te2 Te 0.612 0.612 0.000 1
```